Compound: LiLaTlCd
Source: Alexandria
Functional: PBE-GGA
Structure: relaxed

Calculated formation energy, eV/atom: -0.340
Size of the total moment, μB per atom: 0.0000

a b c (Å): 7.493 7.493 7.493
angles (deg): 90.00 90.00 90.00
Space group F-43m (No. 216)
Unique sites:
Li  0.000  0.000  0.000 (multiplicity 4)
La  0.000  0.000  0.500 (multiplicity 4)
Tl  0.250  0.250  0.250 (multiplicity 4)
Cd  0.250  0.250  0.750 (multiplicity 4)

Compound: Ge2Pt2Au
Source: Alexandria
Functional: PBE-GGA
Structure: relaxed

Calculated formation energy, eV/atom: -0.176
Distance to the lowest polymorph of the same formula, eV per atom: 0.0000
Size of the total moment, μB per atom: 0.0000

a b c (Å): 7.313 7.313 3.205
angles (deg): 90.00 90.00 90.00
Space group P4/mbm (No. 127)
Unique sites:
Ge  0.157  0.343  0.000 (multiplicity 4)
Pt  0.141  0.641  0.500 (multiplicity 4)
Au  0.000  0.000  0.500 (multiplicity 2)

Compound: Re2TcCl
Source: Alexandria
Functional: PBE-GGA
Structure: relaxed

Distance to the lowest polymorph of the same formula, eV per atom: 0.3866
Size of the total moment, μB per atom: 0.0000

a b c (Å): 9.681 2.900 4.477
angles (deg): 90.00 90.74 90.00
Space group Cm (No. 8)
Unique sites:
Re  0.000  0.000  0.000 (multiplicity 2)
Re  0.202  0.500  0.260 (multiplicity 2)
Tc  0.426  0.000  0.448 (multiplicity 2)
Cl  0.203  0.000  0.677 (multiplicity 2)

Compound: VTePdN2
Source: Alexandria
Functional: PBE-GGA
Structure: relaxed

Distance to the lowest polymorph of the same formula, eV per atom: 0.0000
Size of the total moment, μB per atom: 0.1253

a b c (Å): 3.772 3.772 5.805
angles (deg): 90.00 90.00 90.00
Space group P4/mmm (No. 123)
Unique sites:
V  0.000  0.000  0.000 (multiplicity 1)
Te  0.000  0.000  0.500 (multiplicity 1)
Pd  0.500  0.500  0.500 (multiplicity 1)
N  0.000  0.500  0.000 (multiplicity 2)

Compound: NaPrMg2Hg4
Source: Alexandria
Functional: PBE-GGA
Structure: relaxed

Calculated formation energy, eV/atom: -0.331
Size of the total moment, μB per atom: 0.0000

a b c (Å): 5.0263 5.0263 26.2748
angles (deg): 90.00 90.00 120.00
Space group R-3m (No. 166, hexagonal axes)
Unique sites:
Na  0.0000  0.0000  0.0000 (multiplicity 3)
Pr  0.0000  0.0000  0.5000 (multiplicity 3)
Mg  0.0000  0.0000  0.2544 (multiplicity 6)
Hg  0.0000  0.0000  0.1168 (multiplicity 6)
Hg  0.0000  0.0000  0.3731 (multiplicity 6)

Compound: Sm2Zn5Co5
Source: Alexandria
Functional: PBE-GGA
Structure: relaxed

Calculated formation energy, eV/atom: -0.155
Size of the total moment, μB per atom: 0.4060

a b c (Å): 4.069 5.074 9.006
angles (deg): 90.00 90.00 90.00
Space group Pmmm (No. 47)
Unique sites:
Sm  0.000  0.000  0.000 (multiplicity 1)
Sm  0.000  0.500  0.500 (multiplicity 1)
Zn  0.000  0.000  0.323 (multiplicity 2)
Zn  0.000  0.500  0.169 (multiplicity 2)
Zn  0.500  0.000  0.500 (multiplicity 1)
Co  0.500  0.246  0.240 (multiplicity 4)
Co  0.500  0.500  0.000 (multiplicity 1)

Compound: Tm2HCl3
Source: Alexandria
Functional: PBE-GGA
Structure: relaxed

Size of the total moment, μB per atom: 0.1589

a b c (Å): 16.766 3.656 10.612
angles (deg): 90.00 121.71 90.00
Space group C2/m (No. 12)
Unique sites:
Tm  0.078  0.000  0.461 (multiplicity 4)
Tm  0.141  0.500  0.800 (multiplicity 4)
H  0.079  0.000  0.668 (multiplicity 4)
Cl  0.036  0.500  0.248 (multiplicity 4)
Cl  0.166  0.000  0.010 (multiplicity 4)
Cl  0.211  0.500  0.617 (multiplicity 4)

Compound: BaCaAu
Source: Alexandria
Functional: PBE-GGA
Structure: relaxed

Calculated formation energy, eV/atom: -0.459
Distance to the lowest polymorph of the same formula, eV per atom: 0.0732
Size of the total moment, μB per atom: 0.0000

a b c (Å): 7.704 7.704 7.704
angles (deg): 90.00 90.00 90.00
Space group F-43m (No. 216)
Unique sites:
Ba  0.000  0.000  0.000 (multiplicity 4)
Ca  0.000  0.000  0.500 (multiplicity 4)
Au  0.250  0.250  0.250 (multiplicity 4)

Compound: AcTlPbI6
Source: Alexandria
Functional: PBE-GGA
Structure: relaxed

Size of the total moment, μB per atom: 0.0000

a b c (Å): 7.907 7.907 14.894
angles (deg): 90.00 90.00 90.00
Space group P4_2nm (No. 102)
Unique sites:
Ac  0.000  0.000  0.000 (multiplicity 2)
Tl  0.000  0.000  0.668 (multiplicity 2)
Pb  0.000  0.000  0.334 (multiplicity 2)
I  0.188  0.188  0.170 (multiplicity 4)
I  0.207  0.207  0.492 (multiplicity 4)
I  0.207  0.207  0.844 (multiplicity 4)

Compound: Mn2TcIr2
Source: Alexandria
Functional: PBE-GGA
Structure: relaxed

Calculated formation energy, eV/atom: 0.100
Distance to the lowest polymorph of the same formula, eV per atom: 0.0752
Size of the total moment, μB per atom: 0.0000

a b c (Å): 7.145 7.145 2.660
angles (deg): 90.00 90.00 90.00
Space group P4/mbm (No. 127)
Unique sites:
Mn  0.169  0.331  0.000 (multiplicity 4)
Tc  0.000  0.000  0.500 (multiplicity 2)
Ir  0.129  0.629  0.500 (multiplicity 4)

Compound: KBaSCl2
Source: Alexandria
Functional: PBE-GGA
Structure: relaxed

Distance to the lowest polymorph of the same formula, eV per atom: 0.2318
Size of the total moment, μB per atom: 0.2032

a b c (Å): 5.534 5.534 5.658
angles (deg): 90.00 90.00 90.00
Space group P4/mmm (No. 123)
Unique sites:
K  0.000  0.000  0.000 (multiplicity 1)
Ba  0.500  0.500  0.500 (multiplicity 1)
S  0.000  0.000  0.500 (multiplicity 1)
Cl  0.000  0.500  0.000 (multiplicity 2)

Compound: Zn2Ag2Rh
Source: Alexandria
Functional: PBE-GGA
Structure: relaxed

Calculated formation energy, eV/atom: 0.143
Distance to the lowest polymorph of the same formula, eV per atom: 0.0972
Size of the total moment, μB per atom: 0.1138

a b c (Å): 7.521 7.521 2.848
angles (deg): 90.00 90.00 90.00
Space group P4/mbm (No. 127)
Unique sites:
Zn  0.170  0.330  0.000 (multiplicity 4)
Ag  0.131  0.631  0.500 (multiplicity 4)
Rh  0.000  0.000  0.500 (multiplicity 2)

Compound: K2HfPdF
Source: Alexandria
Functional: PBE-GGA
Structure: relaxed

Size of the total moment, μB per atom: 0.4679

a b c (Å): 6.984 6.984 4.850
angles (deg): 90.00 90.00 90.00
Space group P4/mmm (No. 123)
Unique sites:
K  0.000  0.500  0.000 (multiplicity 2)
Hf  0.000  0.000  0.000 (multiplicity 1)
Pd  0.000  0.000  0.500 (multiplicity 1)
F  0.500  0.500  0.500 (multiplicity 1)

Compound: CrAgPRu2
Source: Alexandria
Functional: PBE-GGA
Structure: relaxed

Calculated formation energy, eV/atom: 0.927
Size of the total moment, μB per atom: 0.0378

a b c (Å): 4.332 4.332 4.552
angles (deg): 90.00 90.00 90.00
Space group P4/mmm (No. 123)
Unique sites:
Cr  0.000  0.000  0.000 (multiplicity 1)
Ag  0.500  0.500  0.000 (multiplicity 1)
P  0.500  0.500  0.500 (multiplicity 1)
Ru  0.000  0.500  0.500 (multiplicity 2)

Compound: CaY2UAs4
Source: Alexandria
Functional: PBE-GGA
Structure: relaxed

Calculated formation energy, eV/atom: -1.246
Size of the total moment, μB per atom: 0.2356

a b c (Å): 7.157 4.132 7.159
angles (deg): 90.00 108.98 90.00
Space group P2/m (No. 10)
Unique sites:
Ca  0.000  0.000  0.000 (multiplicity 1)
Y  0.500  0.000  0.500 (multiplicity 1)
Y  0.500  0.500  0.000 (multiplicity 1)
U  0.000  0.500  0.500 (multiplicity 1)
As  0.248  0.000  0.743 (multiplicity 2)
As  0.249  0.500  0.261 (multiplicity 2)

Compound: LiHg2Bi2
Source: Alexandria
Functional: PBE-GGA
Structure: relaxed

Calculated formation energy, eV/atom: 0.019
Distance to the lowest polymorph of the same formula, eV per atom: 0.1134
Size of the total moment, μB per atom: 0.0000

a b c (Å): 4.003 4.003 18.440
angles (deg): 90.00 90.00 90.00
Space group I4/mmm (No. 139)
Unique sites:
Li  0.000  0.000  0.000 (multiplicity 2)
Hg  0.000  0.500  0.250 (multiplicity 4)
Bi  0.000  0.000  0.416 (multiplicity 4)

Compound: Li3CaBi
Source: Alexandria
Functional: PBE-GGA
Structure: relaxed

Calculated formation energy, eV/atom: -0.149
Distance to the lowest polymorph of the same formula, eV per atom: 0.2014
Size of the total moment, μB per atom: 0.0000

a b c (Å): 5.289 5.289 5.289
angles (deg): 90.00 90.00 90.00
Space group Pm-3m (No. 221)
Unique sites:
Li  0.000  0.000  0.500 (multiplicity 3)
Ca  0.500  0.500  0.500 (multiplicity 1)
Bi  0.000  0.000  0.000 (multiplicity 1)

Compound: B5C7
Source: Alexandria
Functional: PBE-GGA
Structure: relaxed

Calculated formation energy, eV/atom: 0.346
Distance to the lowest polymorph of the same formula, eV per atom: 0.0879
Size of the total moment, μB per atom: 0.0000

a b c (Å): 13.819 2.653 4.691
angles (deg): 90.00 108.18 90.00
Space group Cm (No. 8)
Unique sites:
B  0.000  0.000  0.000 (multiplicity 2)
B  0.029  0.500  0.535 (multiplicity 2)
B  0.177  0.000  0.184 (multiplicity 2)
B  0.310  0.500  0.538 (multiplicity 2)
B  0.367  0.500  0.139 (multiplicity 2)
C  0.155  0.500  0.665 (multiplicity 2)
C  0.191  0.500  0.373 (multiplicity 2)
C  0.195  0.000  0.858 (multiplicity 2)
C  0.312  0.000  0.976 (multiplicity 2)
C  0.363  0.000  0.698 (multiplicity 2)
C  0.480  0.000  0.807 (multiplicity 2)
C  0.483  0.500  0.312 (multiplicity 2)

Compound: Pr2CuAs3Pd4
Source: Alexandria
Functional: PBE-GGA
Structure: relaxed

Calculated formation energy, eV/atom: -0.815
Size of the total moment, μB per atom: 0.0000

a b c (Å): 4.369 4.369 10.084
angles (deg): 90.00 90.00 90.00
Space group P-4m2 (No. 115)
Unique sites:
Pr  0.000  0.500  0.249 (multiplicity 2)
Cu  0.000  0.000  0.500 (multiplicity 1)
As  0.000  0.500  0.863 (multiplicity 2)
As  0.500  0.500  0.500 (multiplicity 1)
Pd  0.000  0.000  0.000 (multiplicity 1)
Pd  0.000  0.500  0.620 (multiplicity 2)
Pd  0.500  0.500  0.000 (multiplicity 1)

Compound: Hf2GePb
Source: Alexandria
Functional: PBE-GGA
Structure: relaxed

Calculated formation energy, eV/atom: -0.230
Distance to the lowest polymorph of the same formula, eV per atom: 0.0052
Size of the total moment, μB per atom: 0.0000

a b c (Å): 3.7625 3.7625 22.2589
angles (deg): 90.00 90.00 120.00
Space group R-3m (No. 166, hexagonal axes)
Unique sites:
Hf  0.0000  0.0000  0.2347 (multiplicity 6)
Ge  0.0000  0.0000  0.5000 (multiplicity 3)
Pb  0.0000  0.0000  0.0000 (multiplicity 3)

Compound: NdYHo2
Source: Alexandria
Functional: PBE-GGA
Structure: relaxed

Calculated formation energy, eV/atom: 0.024
Distance to the lowest polymorph of the same formula, eV per atom: 0.0166
Size of the total moment, μB per atom: 0.0000

a b c (Å): 3.580 3.580 10.112
angles (deg): 90.00 90.00 90.00
Space group P4/mmm (No. 123)
Unique sites:
Nd  0.000  0.000  0.000 (multiplicity 1)
Y  0.000  0.000  0.500 (multiplicity 1)
Ho  0.500  0.500  0.253 (multiplicity 2)

Compound: LaMoSe2
Source: Alexandria
Functional: PBE-GGA
Structure: relaxed

Distance to the lowest polymorph of the same formula, eV per atom: 0.3545
Size of the total moment, μB per atom: 0.0022

a b c (Å): 4.464 5.198 7.064
angles (deg): 90.00 90.00 90.00
Space group Cmmm (No. 65)
Unique sites:
La  0.000  0.000  0.000 (multiplicity 2)
Mo  0.000  0.000  0.500 (multiplicity 2)
Se  0.000  0.500  0.286 (multiplicity 4)

Compound: PaTaTe2
Source: Alexandria
Functional: PBE-GGA
Structure: relaxed

Size of the total moment, μB per atom: 0.0072

a b c (Å): 3.3368 3.3368 31.4699
angles (deg): 90.00 90.00 120.00
Space group R-3m (No. 166, hexagonal axes)
Unique sites:
Pa  0.0000  0.0000  0.0000 (multiplicity 3)
Ta  0.0000  0.0000  0.5000 (multiplicity 3)
Te  0.0000  0.0000  0.4120 (multiplicity 6)

Compound: Sc5TaN6
Source: Alexandria
Functional: PBE-GGA
Structure: relaxed

Size of the total moment, μB per atom: 0.0000

a b c (Å): 5.494 9.508 5.488
angles (deg): 90.00 109.49 90.00
Space group C2/m (No. 12)
Unique sites:
Sc  0.000  0.000  0.000 (multiplicity 2)
Sc  0.000  0.167  0.500 (multiplicity 4)
Sc  0.000  0.332  0.000 (multiplicity 4)
Ta  0.000  0.500  0.500 (multiplicity 2)
N  0.242  0.500  0.256 (multiplicity 4)
N  0.243  0.338  0.744 (multiplicity 8)

Compound: Cs2BiSbI6
Source: Alexandria
Functional: PBE-GGA
Structure: relaxed

Size of the total moment, μB per atom: 0.0000

a b c (Å): 8.843 8.843 12.631
angles (deg): 90.00 90.00 90.00
Space group I4/mmm (No. 139)
Unique sites:
Cs  0.000  0.500  0.250 (multiplicity 4)
Bi  0.000  0.000  0.000 (multiplicity 2)
Sb  0.000  0.000  0.500 (multiplicity 2)
I  0.000  0.000  0.252 (multiplicity 4)
I  0.248  0.248  0.500 (multiplicity 8)

Computed volume (A^3/atom) in order:
26.29, 17.14, 15.71, 16.52, 23.95, 15.50, 23.06, 38.10, 51.73, 13.58, 34.65, 16.11, 47.31, 17.09, 25.02, 29.54, 29.59, 6.81, 19.25, 22.74, 32.40, 20.49, 25.29, 11.26, 49.38
Computed VASP energy (eV/cell) in order:
-45.92, -50.95, -68.49, -32.09, -39.42, -53.19, -109.84, -34.32, -57.35, -91.86, -17.14, -29.77, -17.86, -31.80, -54.79, -20.37, -12.37, -187.61, -56.53, -87.46, -20.29, -49.63, -79.72, -231.18, -53.35